Record 1
TiRe2Cl | the Alexandria database | PBE | relaxed; VASP energy = -30.8 eV for the cell shown; polymorph energy (0 for the lowest one) = 0.03 eV per formula unit; total magnetization = 0.000 μB/cell; E_form (uncorrected) = 952 meV per atom
1.0
-0.615 0.211 4.373
-3.852 -1.277 1.755
-0.220 -3.717 2.384
Ti Re Cl
1 2 1
Cartesian
-2.343 -2.391 4.256
-3.515 -3.587 6.384
-1.172 -1.196 2.128
0.000 0.000 0.000

=====

Record 2
Pr6SiNi2Br3 | the Alexandria database | PBE | relaxed; VASP energy = -61.0 eV for the cell shown; total magnetization = 0.000 μB/cell; E_form (uncorrected) = -860 meV per atom
1.0
4.113 0.000 0.000
0.000 9.135 0.019
-2.056 -2.948 9.201
Br Ni Pr Si
3 2 6 1
Cartesian
2.056 -0.497 6.242
2.056 4.567 0.010
0.000 6.685 2.978
0.000 2.076 3.108
2.056 4.112 6.112
2.056 4.127 8.975
0.000 6.058 6.273
0.000 2.204 5.928
2.056 3.983 3.292
2.056 0.129 2.947
0.000 2.061 0.245
2.056 0.000 0.000

=====

Record 3
LaY3Ho6Sc2 | the Alexandria database | PBE | relaxed; E_form = 52 kJ/mol of formula units; VASP energy = -63.9 eV for the cell shown; total magnetization = 0.000 μB/cell
1.0
-0.848 5.916 -1.103
-4.054 -4.069 -1.986
-4.209 0.389 10.876
Y Ho Sc La
3 6 2 1
Cartesian
-4.555 1.118 3.893
-3.489 4.439 4.187
-5.621 -2.203 3.599
-4.411 0.761 7.405
-1.733 2.240 2.057
-2.811 -1.119 1.760
-7.377 -0.004 5.729
-6.299 3.355 6.026
-4.699 1.475 0.381
-1.917 2.586 -1.397
-2.985 -0.739 -1.692
0.000 0.000 0.000

=====

Record 4
Ca2TlSe | the Alexandria database | PBE | relaxed; VASP energy = -13.3 eV for the cell shown; polymorph energy (0 for the lowest one) = 0.99 eV per formula unit; total magnetization = 0.000 μB/cell; E_form (uncorrected) = -851 meV per atom
1.0
-3.304 0.467 -4.315
4.837 -0.532 -2.465
-0.435 -3.673 -0.068
Se Tl Ca
1 1 2
Cartesian
-1.870 -1.603 -2.192
2.201 -2.102 -1.266
0.767 -0.032 -3.390
0.000 0.000 0.000

=====

Record 5
Ac6Ge2PbBr3 | the Alexandria database | PBE | relaxed; VASP energy = -55.4 eV for the cell shown; total magnetization = 0.000 μB/cell; E_form (uncorrected) = -1067 meV per atom
1.0
4.711 0.000 0.000
0.000 9.185 0.545
-2.355 -2.426 9.755
Br Ac Pb Ge
3 6 1 2
Cartesian
2.355 -0.106 6.650
2.355 4.593 0.272
0.000 6.865 3.650
2.355 4.477 9.959
2.355 0.201 3.338
0.000 6.558 6.962
0.000 2.374 6.602
2.355 4.386 3.698
0.000 2.282 0.341
2.355 0.000 0.000
0.000 2.280 3.464
2.355 4.479 6.836

=====

Record 6
Li5ZnPt | the Alexandria database | PBE | relaxed; E_form = -173 kJ/mol of formula units; VASP energy = -37.3 eV for the cell shown; total magnetization = 0.000 μB/cell
1.0
5.212 0.625 -0.472
2.247 4.745 -0.472
1.947 1.402 9.073
Li Pt Zn
10 2 2
Cartesian
2.429 1.566 2.417
3.542 3.972 1.796
6.977 5.205 5.712
6.702 4.841 8.281
6.177 4.265 1.176
5.744 4.119 3.745
3.662 2.652 4.384
5.864 2.800 6.333
2.704 1.930 -0.152
3.229 2.507 6.953
5.010 1.933 1.796
4.396 4.839 6.333
0.974 0.701 4.536
0.000 0.000 0.000

=====

Copy entry 1 word for word.
TiRe2Cl | the Alexandria database | PBE | relaxed; VASP energy = -30.8 eV for the cell shown; polymorph energy (0 for the lowest one) = 0.03 eV per formula unit; total magnetization = 0.000 μB/cell; E_form (uncorrected) = 952 meV per atom
1.0
-0.615 0.211 4.373
-3.852 -1.277 1.755
-0.220 -3.717 2.384
Ti Re Cl
1 2 1
Cartesian
-2.343 -2.391 4.256
-3.515 -3.587 6.384
-1.172 -1.196 2.128
0.000 0.000 0.000